(1)
A relaxed structure of Sr2CaIrN2. Source: the Alexandria database, functional PBE.

The value obtained for the energy relative to the elements, uncorrected is -0.400 eV per atom. The total magnetization comes out at 0.903 μB/f.u. The volume comes out at 20.915 A^3/atom.

Unit cell a=5.6940 b=11.2670 c=3.9121 alpha=90.00 beta=90.00 gamma=90.00
Atoms (fractional coordinates):
Sr  0.0510  0.2071  0.0000
Sr  0.4490  0.7071  0.5000
Sr  0.5510  0.2929  0.5000
Sr  0.9490  0.7929  0.0000
Ca  0.0000  0.5000  0.5000
Ca  0.5000  0.0000  0.0000
Ir  0.0000  0.0000  0.5000
Ir  0.5000  0.5000  0.0000
N  0.2267  0.6120  0.0000
N  0.2733  0.1120  0.5000
N  0.7267  0.8880  0.5000
N  0.7733  0.3880  0.0000

=====

(2)
A relaxed structure of Pr5Dy3Y4. Source: the Alexandria database, functional PBE.

For the formation energy, the calculation gives 251 kJ/mol of formula units. The total magnetization comes out at 0.281 μB/f.u. The volume comes out at 34.340 A^3/atom.

Unit cell a=6.4236 b=6.4236 c=13.2979 alpha=103.15 beta=103.15 gamma=50.90
Atoms (fractional coordinates):
Pr  0.0000  0.0000  0.0000
Pr  0.1381  0.1381  0.4649
Pr  0.3272  0.3272  0.7364
Pr  0.6728  0.6728  0.2636
Pr  0.8619  0.8619  0.5351
Dy  0.0445  0.0445  0.7826
Dy  0.5000  0.5000  0.0000
Dy  0.9555  0.9555  0.2174
Y  0.2683  0.2683  0.1038
Y  0.4111  0.4111  0.3701
Y  0.5889  0.5889  0.6299
Y  0.7317  0.7317  0.8962

=====

(3)
A relaxed structure of BaCuSe. Source: the Alexandria database, functional PBE.

For the energy above the most stable polymorph in this dataset, the calculation gives 0.000 eV/atom. The value obtained for the energy relative to the elements, uncorrected is -0.815 eV per atom. The total magnetization comes out at 0.796 μB/f.u. The volume comes out at 26.197 A^3/atom.

Unit cell a=4.3569 b=4.3569 c=4.7808 alpha=90.00 beta=90.00 gamma=120.00
Atoms (fractional coordinates):
Ba  0.0000  0.0000  0.0000
Cu  0.6667  0.3333  0.5000
Se  0.3333  0.6667  0.5000

=====

(4)
A relaxed structure of Cd4PdAu7. Source: the Alexandria database, functional PBE.

For the formation energy, the calculation gives -54 kJ/mol of formula units. The total magnetization comes out at 0.000 μB/f.u. The volume comes out at 20.699 A^3/atom.

Unit cell a=6.0366 b=6.0366 c=10.2051 alpha=117.08 beta=117.08 gamma=50.63
Atoms (fractional coordinates):
Cd  0.0964  0.0964  0.2761
Cd  0.2500  0.2500  0.8301
Cd  0.7500  0.7500  0.1699
Cd  0.9036  0.9036  0.7239
Pd  0.5000  0.5000  0.5000
Au  0.0000  0.0000  0.5000
Au  0.1349  0.1349  0.0232
Au  0.2925  0.2925  0.5849
Au  0.4232  0.4232  0.1897
Au  0.5768  0.5768  0.8103
Au  0.7075  0.7075  0.4151
Au  0.8651  0.8651  0.9768

=====

(5)
A relaxed structure of PrZrGa5Pt2. Source: the Alexandria database, functional PBE.

For the formation energy, the calculation gives -286 kJ/mol of formula units. The total magnetization comes out at 0.000 μB/f.u. The volume comes out at 22.722 A^3/atom.

Unit cell a=4.4745 b=4.4745 c=10.2138 alpha=90.00 beta=90.00 gamma=90.00
Atoms (fractional coordinates):
Pr  0.0000  0.0000  0.0000
Zr  0.0000  0.0000  0.5000
Ga  0.0000  0.5000  0.3291
Ga  0.0000  0.5000  0.6709
Ga  0.5000  0.0000  0.3291
Ga  0.5000  0.0000  0.6709
Ga  0.5000  0.5000  0.0000
Pt  0.5000  0.5000  0.2262
Pt  0.5000  0.5000  0.7738

=====

(6)
A relaxed structure of Y2MgGaCo. Source: the Alexandria database, functional PBE.

For the formation energy, the calculation gives -79 kJ/mol of formula units. The total magnetization comes out at 0.000 μB/f.u. The volume comes out at 24.488 A^3/atom.

Unit cell a=5.1437 b=5.1437 c=4.6277 alpha=90.00 beta=90.00 gamma=90.00
Atoms (fractional coordinates):
Y  0.0000  0.5000  0.0000
Y  0.5000  0.0000  0.0000
Mg  0.0000  0.0000  0.5000
Ga  0.5000  0.5000  0.5000
Co  0.5000  0.5000  0.0000

=====

(7)
A relaxed structure of Zr5NiOs4. Source: the Alexandria database, functional PBE.

For the formation energy, the calculation gives -461 kJ/mol of formula units. The total magnetization comes out at 0.007 μB/f.u. The volume comes out at 17.620 A^3/atom.

Unit cell a=3.2641 b=3.2641 c=16.5381 alpha=90.00 beta=90.00 gamma=90.00
Atoms (fractional coordinates):
Zr  0.0000  0.0000  0.0000
Zr  0.0000  0.0000  0.2015
Zr  0.0000  0.0000  0.4026
Zr  0.0000  0.0000  0.5974
Zr  0.0000  0.0000  0.7985
Ni  0.5000  0.5000  0.5000
Os  0.5000  0.5000  0.1008
Os  0.5000  0.5000  0.3024
Os  0.5000  0.5000  0.6976
Os  0.5000  0.5000  0.8992

=====

(8)
A relaxed structure of Ce3GeI7. Source: the Alexandria database, functional PBE.

The value obtained for the energy relative to the elements, uncorrected is -1.059 eV per atom. The total magnetization comes out at 0.941 μB/f.u. The volume comes out at 46.946 A^3/atom.

Unit cell a=9.0422 b=9.0422 c=7.2931 alpha=90.00 beta=90.00 gamma=120.00
Atoms (fractional coordinates):
Ce  0.0171  0.5086  0.0000
Ce  0.4914  0.5086  0.0000
Ce  0.4914  0.9829  0.0000
Ge  0.3333  0.6667  0.1749
I  0.1704  0.3407  0.7464
I  0.1704  0.8296  0.7464
I  0.3411  0.1705  0.2324
I  0.6593  0.8296  0.7464
I  0.6667  0.3333  0.7478
I  0.8295  0.1705  0.2324
I  0.8295  0.6589  0.2324

=====

(9)
A relaxed structure of LiHoTh2. Source: the Alexandria database, functional PBE.

For the energy above the most stable polymorph in this dataset, the calculation gives 0.103 eV/atom. For the formation energy, the calculation gives 95 kJ/mol of formula units. The total magnetization comes out at 0.000 μB/f.u. The volume comes out at 31.897 A^3/atom.

Unit cell a=12.6596 b=12.6596 c=12.6596 alpha=15.58 beta=15.58 gamma=15.58
Atoms (fractional coordinates):
Li  0.0000  0.0000  0.0000
Ho  0.5000  0.5000  0.5000
Th  0.0882  0.0882  0.0882
Th  0.9118  0.9118  0.9118

=====

(10)
A relaxed structure of CsTl2HgAu. Source: the Alexandria database, functional PBE.

For the energy above the most stable polymorph in this dataset, the calculation gives 0.000 eV/atom. For the formation energy, the calculation gives -18 kJ/mol of formula units. The total magnetization comes out at 0.000 μB/f.u. The volume comes out at 37.405 A^3/atom.

Unit cell a=5.6706 b=5.6706 c=5.8162 alpha=90.00 beta=90.00 gamma=90.00
Atoms (fractional coordinates):
Cs  0.0000  0.0000  0.0000
Tl  0.0000  0.5000  0.5000
Tl  0.5000  0.0000  0.5000
Hg  0.5000  0.5000  0.0000
Au  0.5000  0.5000  0.5000

=====

(11)
A relaxed structure of K2Tl4InAu3. Source: the Alexandria database, functional PBE.

For the formation energy, the calculation gives -139 kJ/mol of formula units. The total magnetization comes out at 0.000 μB/f.u. The volume comes out at 29.957 A^3/atom.

Unit cell a=4.8830 b=4.8830 c=12.5637 alpha=90.00 beta=90.00 gamma=90.00
Atoms (fractional coordinates):
K  0.0000  0.5000  0.2502
K  0.5000  0.0000  0.7498
Tl  0.0000  0.0000  0.0000
Tl  0.0000  0.5000  0.6381
Tl  0.5000  0.0000  0.3619
Tl  0.5000  0.5000  0.0000
In  0.0000  0.0000  0.5000
Au  0.0000  0.5000  0.8643
Au  0.5000  0.0000  0.1357
Au  0.5000  0.5000  0.5000

=====

(12)
A relaxed structure of LaGaAg2. Source: the Alexandria database, functional PBE.

For the formation energy, the calculation gives -141 kJ/mol of formula units. The total magnetization comes out at 0.000 μB/f.u. The volume comes out at 22.321 A^3/atom.

Unit cell a=7.0595 b=5.8874 c=5.8874 alpha=46.87 beta=90.00 gamma=90.00
Atoms (fractional coordinates):
La  0.0000  0.0000  0.0000
La  0.5000  0.1883  0.1883
Ga  0.1902  0.7236  0.7236
Ga  0.8098  0.7236  0.7236
Ag  0.0000  0.2889  0.2889
Ag  0.3017  0.4814  0.4814
Ag  0.5000  0.8862  0.8862
Ag  0.6983  0.4814  0.4814

=====

What did we get for final energy? Answer: -5.55; -5.08; -3.98; -2.70; -4.83; -5.09; -9.82; -4.08; -5.09; -1.87; -2.57; -3.78 eV/atom, in the order shown.